Below is CaMo2Rh at its PBEsol-relaxed geometry, with properties calculated at the meta-GGA SCAN level.

Cell and atoms, written as CIF:
```
data_CaMo2Rh
_cell_length_a 3.1262
_cell_length_b 4.9192
_cell_length_c 8.9314
_cell_angle_alpha 90.00
_cell_angle_beta 90.00
_cell_angle_gamma 90.00
_space_group_name_H-M_alt 'I m m 2'
_space_group_IT_number 44
_space_group_name_Hall 'I 2 -2'
loop_
_atom_site_label
_atom_site_fract_x
_atom_site_fract_y
_atom_site_fract_z
Ca1 0.0000 0.0000 0.0000
Mo1 0.0000 0.0000 0.4891
Mo2 0.0000 0.5000 0.7816
Rh1 0.0000 0.5000 0.2317
```

## Properties
Crystal system: orthorhombic
Energy above the most stable polymorph in this dataset, meV per atom: 188